1.
Density functional theory data (PBEsol) for a geometry-optimized CaHg structure.

Cell lengths 3.909, 11.627, 4.785 Å; angles 90.00, 90.00, 90.00 degrees
Space group Cmcm (No. 63)
One atom of each set of equivalent atoms:
Ca 0.000 0.145 0.250
Hg 0.000 0.419 0.250

Summary:
calculated formation energy	-0.5661	eV per atom



2.
Density functional theory data (PBEsol) for a geometry-optimized Li2CuPt structure.

Cell lengths 8.823, 2.707, 4.453 Å; angles 90.00, 101.39, 90.00 degrees
Space group Cm (No. 8)
One atom of each set of equivalent atoms:
Li 0.000 0.000 0.000
Li 0.237 0.000 0.753
Cu 0.245 0.500 0.277
Pt 0.489 0.000 0.488

Summary:
calculated formation energy	-0.2721	eV per atom



3.
Density functional theory data (PBEsol) for a geometry-optimized ErNi4Au structure.

Cell lengths 6.829, 6.829, 6.829 Å; angles 90.00, 90.00, 90.00 degrees
Space group F-43m (No. 216)
One atom of each set of equivalent atoms:
Er 0.000 0.000 0.000
Ni 0.124 0.124 0.624
Au 0.250 0.250 0.250

Summary:
calculated formation energy	-0.4223	eV per atom



4.
Density functional theory data (PBEsol) for a geometry-optimized La2InTc structure.

Cell lengths 3.414, 3.414, 8.773 Å; angles 90.00, 90.00, 90.00 degrees
Space group P4/mmm (No. 123)
One atom of each set of equivalent atoms:
La 0.000 0.000 0.201
In 0.500 0.500 0.500
Tc 0.500 0.500 0.000

Summary:
calculated formation energy	-0.0649	eV per atom



5.
Density functional theory data (PBEsol) for a geometry-optimized Pt2Rh structure.

Cell lengths 4.4129, 4.4129, 2.6463 Å; angles 90.00, 90.00, 120.00 degrees
Space group P6/mmm (No. 191)
One atom of each set of equivalent atoms:
Pt 0.3333 0.6667 0.0000
Rh 0.0000 0.0000 0.5000

Summary:
calculated formation energy	0.1941	eV per atom



6.
Density functional theory data (PBEsol) for a geometry-optimized CoRh structure.

Cell lengths 2.596, 9.495, 3.928 Å; angles 90.00, 90.00, 90.00 degrees
Space group Cmcm (No. 63)
One atom of each set of equivalent atoms:
Co 0.000 0.064 0.250
Rh 0.000 0.328 0.250

Summary:
calculated formation energy	0.0850	eV per atom



7.
Density functional theory data (PBEsol) for a geometry-optimized CsNbN2 structure.

Cell lengths 3.2516, 3.2516, 22.4583 Å; angles 90.00, 90.00, 120.00 degrees
Space group R-3m (No. 166, hexagonal axes)
One atom of each set of equivalent atoms:
Cs 0.0000 0.0000 0.0000
Nb 0.0000 0.0000 0.5000
N 0.0000 0.0000 0.1207

Summary:
raw formation energy	-1.19	eV per formula unit



8.
Density functional theory data (PBEsol) for a geometry-optimized Al2CuCl structure.

Cell lengths 2.975, 2.975, 7.382 Å; angles 90.00, 90.00, 90.00 degrees
Space group P4mm (No. 99)
One atom of each set of equivalent atoms:
Al 0.000 0.000 0.000
Al 0.500 0.500 0.259
Cu 0.000 0.000 0.444
Cl 0.500 0.500 0.767

Summary:
raw formation energy	-0.18	eV per formula unit



9.
Density functional theory data (PBEsol) for a geometry-optimized MgReBr structure.

Cell lengths 3.0605, 3.0605, 6.5674 Å; angles 90.00, 90.00, 120.00 degrees
Space group P3m1 (No. 156)
One atom of each set of equivalent atoms:
Mg 0.0000 0.0000 0.0000
Re 0.3333 0.6667 0.6754
Br 0.6667 0.3333 0.3806

Summary:
raw formation energy	1.71	eV per formula unit



10.
Density functional theory data (PBEsol) for a geometry-optimized Mg2SbTe structure.

Cell lengths 4.312, 5.896, 7.993 Å; angles 90.00, 90.00, 90.00 degrees
Space group Cmmm (No. 65)
One atom of each set of equivalent atoms:
Mg 0.000 0.000 0.243
Sb 0.000 0.500 0.500
Te 0.000 0.500 0.000

Summary:
raw formation energy	-1.01	eV per formula unit



11.
Density functional theory data (PBEsol) for a geometry-optimized InAgP2 structure.

Cell lengths 4.677, 3.752, 4.681 Å; angles 90.00, 104.32, 90.00 degrees
Space group P2/m (No. 10)
One atom of each set of equivalent atoms:
In 0.000 0.000 0.000
Ag 0.500 0.000 0.500
P 0.338 0.500 0.789

Summary:
calculated formation energy	0.0999	eV per atom



12.
Density functional theory data (PBEsol) for a geometry-optimized CdFeO3 structure.

Cell lengths 5.246, 7.431, 5.203 Å; angles 90.00, 90.00, 90.00 degrees
Space group Pnma (No. 62)
One atom of each set of equivalent atoms:
Cd 0.037 0.250 0.007
Fe 0.000 0.000 0.500
O 0.021 0.750 0.419
O 0.207 0.542 0.795

Summary:
raw formation energy	-5.52	eV per formula unit



13.
Density functional theory data (PBEsol) for a geometry-optimized Na3ZrSn structure.

Cell lengths 5.684, 5.684, 5.684 Å; angles 90.00, 90.00, 90.00 degrees
Space group Pm-3m (No. 221)
One atom of each set of equivalent atoms:
Na 0.000 0.000 0.500
Zr 0.000 0.000 0.000
Sn 0.500 0.500 0.500

Summary:
calculated formation energy	1.3346	eV per atom



14.
Density functional theory data (PBEsol) for a geometry-optimized KZr4Se structure.

Cell lengths 8.390, 8.390, 8.390 Å; angles 90.00, 90.00, 90.00 degrees
Space group F-43m (No. 216)
One atom of each set of equivalent atoms:
K 0.000 0.000 0.000
Zr 0.128 0.128 0.628
Se 0.250 0.250 0.250

Summary:
raw formation energy	4.15	eV per formula unit



15.
Density functional theory data (PBEsol) for a geometry-optimized HPtF2 structure.

Cell lengths 2.7100, 2.7100, 18.8676 Å; angles 90.00, 90.00, 120.00 degrees
Space group R-3m (No. 166, hexagonal axes)
One atom of each set of equivalent atoms:
H 0.0000 0.0000 0.0000
Pt 0.0000 0.0000 0.5000
F 0.0000 0.0000 0.0606

Summary:
calculated total energy	-16.78	eV per formula unit



16.
Density functional theory data (PBEsol) for a geometry-optimized SrTc2Pb structure.

Cell lengths 3.706, 3.706, 6.673 Å; angles 90.00, 90.00, 90.00 degrees
Space group P4/mmm (No. 123)
One atom of each set of equivalent atoms:
Sr 0.000 0.000 0.000
Tc 0.500 0.500 0.333
Pb 0.000 0.000 0.500

Summary:
calculated formation energy	0.7856	eV per atom



17.
Density functional theory data (PBEsol) for a geometry-optimized AlPtRh2 structure.

Cell lengths 8.932, 2.761, 4.607 Å; angles 90.00, 102.96, 90.00 degrees
Space group Cm (No. 8)
One atom of each set of equivalent atoms:
Al 0.000 0.000 0.000
Pt 0.256 0.000 0.760
Rh 0.239 0.500 0.259
Rh 0.495 0.000 0.492

Summary:
calculated formation energy	-0.5088	eV per atom



18.
Density functional theory data (PBEsol) for a geometry-optimized Sc2HSe structure.

Cell lengths 6.272, 6.272, 6.272 Å; angles 90.00, 90.00, 90.00 degrees
Space group Fm-3m (No. 225)
One atom of each set of equivalent atoms:
Sc 0.250 0.250 0.250
H 0.000 0.000 0.000
Se 0.000 0.000 0.500

Summary:
calculated total energy	-22.78	eV per formula unit



19.
Density functional theory data (PBEsol) for a geometry-optimized ScZnPd structure.

Cell lengths 4.262, 9.012, 5.196 Å; angles 90.00, 90.00, 90.00 degrees
Space group Cmcm (No. 63)
One atom of each set of equivalent atoms:
Sc 0.000 0.207 0.250
Zn 0.000 0.500 0.000
Pd 0.000 0.096 0.750

Summary:
calculated formation energy	-0.7203	eV per atom



20.
Density functional theory data (PBEsol) for a geometry-optimized TcNi2Ag structure.

Cell lengths 3.632, 3.632, 7.718 Å; angles 90.00, 90.00, 90.00 degrees
Space group I-4m2 (No. 119)
One atom of each set of equivalent atoms:
Tc 0.000 0.000 0.000
Ni 0.000 0.000 0.500
Ni 0.000 0.500 0.750
Ag 0.000 0.500 0.250

Summary:
calculated formation energy	0.4128	eV per atom



21.
Density functional theory data (PBEsol) for a geometry-optimized KSc2GaBi structure.

Cell lengths 5.117, 5.117, 5.192 Å; angles 90.00, 90.00, 90.00 degrees
Space group P4/mmm (No. 123)
One atom of each set of equivalent atoms:
K 0.000 0.000 0.000
Sc 0.000 0.500 0.000
Ga 0.000 0.000 0.500
Bi 0.500 0.500 0.500

Summary:
calculated formation energy	1.1844	eV per atom



22.
Density functional theory data (PBEsol) for a geometry-optimized Ca5Mg3 structure.

Cell lengths 12.972, 12.972, 6.379 Å; angles 90.00, 90.00, 90.00 degrees
Space group I4/mcm (No. 140)
One atom of each set of equivalent atoms:
Ca 0.000 0.500 0.250
Ca 0.079 0.221 0.000
Mg 0.000 0.000 0.250
Mg 0.165 0.335 0.500

Summary:
calculated formation energy	-0.0331	eV per atom



23.
Density functional theory data (PBEsol) for a geometry-optimized NbFeSi structure.

Cell lengths 6.168, 3.705, 6.930 Å; angles 90.00, 90.00, 90.00 degrees
Space group Pnma (No. 62)
One atom of each set of equivalent atoms:
Nb 0.014 0.250 0.188
Fe 0.147 0.250 0.566
Si 0.220 0.750 0.387

Summary:
raw formation energy	-2.05	eV per formula unit



24.
Density functional theory data (PBEsol) for a geometry-optimized NdSe2 structure.

Cell lengths 8.434, 4.120, 8.284 Å; angles 90.00, 90.05, 90.00 degrees
Space group P2_1/c (No. 14)
One atom of each set of equivalent atoms:
Nd 0.226 0.228 0.374
Se 0.132 0.745 0.125
Se 0.499 0.693 0.380

Summary:
raw formation energy	-5.03	eV per formula unit



25.
Density functional theory data (PBEsol) for a geometry-optimized LaB2Os2 structure.

Cell lengths 6.560, 9.120, 10.115 Å; angles 90.00, 90.00, 90.00 degrees
Space group Fddd (No. 70, origin choice 2)
One atom of each set of equivalent atoms:
La 0.125 0.125 0.125
B 0.125 0.307 0.625
Os 0.125 0.125 0.488

Summary:
calculated formation energy	-0.4375	eV per atom



26.
Density functional theory data (PBEsol) for a geometry-optimized TiBe2Ru2 structure.

Cell lengths 6.194, 6.194, 2.946 Å; angles 90.00, 90.00, 90.00 degrees
Space group P4/mbm (No. 127)
One atom of each set of equivalent atoms:
Ti 0.000 0.000 0.000
Be 0.118 0.382 0.000
Ru 0.175 0.675 0.500

Summary:
calculated formation energy	-0.4926	eV per atom



27.
Density functional theory data (PBEsol) for a geometry-optimized LiIn2Ag structure.

Cell lengths 3.305, 4.084, 5.840 Å; angles 90.00, 90.00, 90.00 degrees
Space group Pmm2 (No. 25)
One atom of each set of equivalent atoms:
Li 0.000 0.000 0.000
In 0.000 0.000 0.475
In 0.500 0.500 0.764
Ag 0.500 0.500 0.243

Summary:
calculated formation energy	-0.1571	eV per atom



The following magnetization values (in Bohr magnetons per cell) correspond, in order, to the records above: 0.00 0.00 0.00 0.00 0.00 8.69 0.00 0.00 0.00 0.00 0.00 12.68 3.21 0.01 2.16 0.00 0.00 2.73 0.00 1.97 0.01 0.00 0.00 0.00 0.00 0.00 0.00.